No. 1
An optimized crystal structure of Rb2SnIrI6. Source: the Alexandria database, functional PBE.

a b c (Å): 8.3111 8.3111 8.3111
angles (deg): 120.07 120.07 89.88
With the nearest neighbours (Å) after each atom.
Atoms (fractional coordinates):
Rb 0.2500 0.7500 0.5000  12 I 4.16
Rb 0.7500 0.2500 0.5000  12 I 4.16
Sn 0.0000 0.0000 0.0000  6 I 3.13-3.14
Ir 0.5000 0.5000 0.0000  6 I 2.74
I 0.2663 0.2663 0.5326  1 Ir 2.74
I 0.2663 0.7337 0.0000  1 Ir 2.74
I 0.2667 0.2667 0.0000  1 Ir 2.74
I 0.7333 0.7333 0.0000  1 Ir 2.74
I 0.7337 0.2663 0.0000  1 Ir 2.74
I 0.7337 0.7337 0.4674  1 Ir 2.74

Output
E_form (uncorrected) (eV/atom): -0.620
Magnetization (μB per atom): 0.00
D(E_F) (states/eV per atom): 0.464

---

No. 2
An optimized crystal structure of Ac3Cd2Au9. Source: the Alexandria database, functional PBE.

a b c (Å): 9.0290 9.0290 9.0290
angles (deg): 149.56 113.87 74.53
With the nearest neighbours (Å) after each atom.
Atoms (fractional coordinates):
Ac 0.0000 0.0000 0.0000  12 Au 3.46-3.55
Ac 0.2889 0.2889 0.0000  12 Au 3.33-3.63, 2 Cd 3.53
Ac 0.7111 0.7111 0.0000  12 Au 3.33-3.63, 2 Cd 3.53
Cd 0.3178 0.5000 0.8178  8 Au 2.86-3.08
Cd 0.6822 0.5000 0.1822  8 Au 2.86-3.08
Au 0.0173 0.6572 0.3601  4 Au 2.76-3.06, 1 Cd 2.86
Au 0.1543 0.8645 0.2898  4 Au 2.81-3.06, 2 Cd 3.08
Au 0.2971 0.6572 0.6399  4 Au 2.76-3.06, 1 Cd 2.86
Au 0.4253 0.1355 0.2898  4 Au 2.81-3.06, 2 Cd 3.08
Au 0.5000 0.0000 0.5000  4 Au 2.84, 4 Cd 2.97
Au 0.5747 0.8645 0.7102  4 Au 2.81-3.06, 2 Cd 3.08
Au 0.7029 0.3428 0.3601  4 Au 2.76-3.06, 1 Cd 2.86
Au 0.8457 0.1355 0.7102  4 Au 2.81-3.06, 2 Cd 3.08
Au 0.9827 0.3428 0.6399  4 Au 2.76-3.06, 1 Cd 2.86

Output
Calculated formation energy (eV/atom): -0.62
Magnetization (μB per atom): 0.00
D(E_F) (states/eV per atom): 0.420

---

No. 3
An optimized crystal structure of TmCdF6. Source: the Alexandria database, functional PBE.

a b c (Å): 3.4033 6.9225 10.3240
angles (deg): 90.00 90.00 90.00
With the nearest neighbours (Å) after each atom.
Atoms (fractional coordinates):
Tm 0.0000 0.0000 0.0000  8 F 2.17-2.31
Tm 0.0000 0.5000 0.5000  8 F 2.17-2.31
Cd 0.5000 0.0000 0.5261  8 F 2.22-2.43
Cd 0.5000 0.5000 0.0261  8 F 2.22-2.43
F 0.0000 0.0000 0.6639  2 Cd 2.22
F 0.0000 0.1927 0.4311  1 Tm 2.24, 2 Cd 2.37
F 0.0000 0.3073 0.9311  1 Tm 2.24, 2 Cd 2.37
F 0.0000 0.5000 0.1639  2 Cd 2.22
F 0.0000 0.6927 0.9311  1 Tm 2.24, 2 Cd 2.37
F 0.0000 0.8073 0.4311  1 Tm 2.24, 2 Cd 2.37
F 0.5000 0.0000 0.8699  2 Tm 2.17
F 0.5000 0.1671 0.1019  2 Tm 2.31, 1 F 2.31, 1 Cd 2.43
F 0.5000 0.3329 0.6019  2 Tm 2.31, 1 F 2.31, 1 Cd 2.43
F 0.5000 0.5000 0.3699  2 Tm 2.17
F 0.5000 0.6671 0.6019  2 Tm 2.31, 1 F 2.31, 1 Cd 2.43
F 0.5000 0.8329 0.1019  2 Tm 2.31, 1 F 2.31, 1 Cd 2.43

Output
E_form (uncorrected) (eV/atom): -2.752
Magnetization (μB per atom): 0.13
D(E_F) (states/eV per atom): 1.038

---

No. 4
An optimized crystal structure of La2ZnIn2. Source: the Alexandria database, functional PBE.

a b c (Å): 6.2238 6.2238 11.5324
angles (deg): 115.29 115.29 46.04
With the nearest neighbours (Å) after each atom.
Atoms (fractional coordinates):
La 0.0216 0.0216 0.3386  4 Zn 3.34-3.45, 7 In 3.35-3.57
La 0.1776 0.1776 0.0950  6 In 3.35-3.46, 1 La 3.62, 2 Zn 3.63
La 0.8224 0.8224 0.9050  6 In 3.35-3.46, 1 La 3.62, 2 Zn 3.63
La 0.9784 0.9784 0.6614  4 Zn 3.34-3.45, 7 In 3.35-3.57
Zn 0.2752 0.2752 0.6529  4 In 2.77-3.06
Zn 0.7248 0.7248 0.3471  4 In 2.77-3.06
In 0.3535 0.3535 0.4332  3 Zn 2.78-3.06, 1 In 2.97
In 0.4827 0.4827 0.1244  1 Zn 2.77, 1 In 3.07
In 0.5173 0.5173 0.8756  1 Zn 2.77, 1 In 3.07
In 0.6465 0.6465 0.5668  3 Zn 2.78-3.06, 1 In 2.97

Output
Calculated formation energy (eV/atom): -0.47
Magnetization (μB per atom): 0.04
D(E_F) (states/eV per atom): 0.715